An optimized crystal structure of Na3BiSe4. Source: Alexandria, functional PBE.

Results
The spin magnetization is 0.1 μB per cell. The formation energy (no corrections) comes out at -59 kJ per mole of atoms. The crystal system is orthorhombic. The calculation puts the total energy at -3.338 eV/atom.

a b c (Å): 3.651 7.701 7.701
angles (deg): 102.91 90.00 90.00
Fractional positions:
Na: 0.500 0.500 0.500
Na: 0.000 0.000 0.500
Na: 0.000 0.500 0.000
Se: 0.500 0.247 0.753
Se: 0.000 0.233 0.233
Se: 0.500 0.753 0.247
Se: 0.000 0.767 0.767
Bi: 0.500 0.000 0.000